Compound: TaPbCl
Source: the Alexandria database
Functional: PBE
Structure: optimized geometry

The structure belongs to space group F-43m (No. 216); the cell edges are 6.7573, 6.7573 and 6.7573 Å and the angles 90.00°, 90.00° and 90.00°. The distinct sites, in fractional coordinates, are Ta at (0.0000, 0.0000, 0.0000), Pb at (0.2500, 0.2500, 0.2500) and Cl at (0.2500, 0.2500, 0.7500).

As for the calculated total energy: -5.040 eV/atom. The value obtained for the distance to the lowest polymorph of the same formula is 1007 meV per atom. The formation energy (no corrections) is 2.29 eV/f.u. Its size of the total moment is 0.0 Bohr magnetons per cell.

Compound: TaPbCl
Source: the Alexandria database
Functional: PBE
Structure: optimized geometry

The structure belongs to space group Fmm2 (No. 42); the cell edges are 3.3675, 5.2793 and 16.7902 Å and the angles 90.00°, 90.00° and 90.00°. The distinct sites, in fractional coordinates, are Ta at (0.0000, 0.0000, 0.0000), Pb at (0.0000, 0.0000, 0.3452) and Cl at (0.0000, 0.0000, 0.6112).

As for the calculated total energy: -5.828 eV/atom. The value obtained for the distance to the lowest polymorph of the same formula is 219 meV per atom. The formation energy (no corrections) is -0.08 eV/f.u. Its size of the total moment is 0.0 Bohr magnetons per cell.

Compound: TaPbCl
Source: the Alexandria database
Functional: PBE
Structure: optimized geometry

The structure belongs to space group P-6m2 (No. 187); the cell edges are 4.7671, 4.7671 and 3.1421 Å and the angles 90.00°, 90.00° and 120.00°. The distinct sites, in fractional coordinates, are Ta at (0.0000, 0.0000, 0.0000), Pb at (0.6667, 0.3333, 0.5000) and Cl at (0.3333, 0.6667, 0.0000).

As for the calculated total energy: -5.543 eV/atom. The value obtained for the distance to the lowest polymorph of the same formula is 504 meV per atom. The formation energy (no corrections) is 0.78 eV/f.u. Its size of the total moment is 0.0 Bohr magnetons per cell.

Compound: TaPbCl
Source: the Alexandria database
Functional: PBE
Structure: optimized geometry

The structure belongs to space group P3m1 (No. 156); the cell edges are 3.2080, 3.2080 and 8.4316 Å and the angles 90.00°, 90.00° and 120.00°. The distinct sites, in fractional coordinates, are Ta at (0.0000, 0.0000, 0.0000), Pb at (0.3333, 0.6667, 0.6940) and Cl at (0.6667, 0.3333, 0.2030).

As for the calculated total energy: -6.047 eV/atom. The value obtained for the distance to the lowest polymorph of the same formula is 0 meV per atom. The formation energy (no corrections) is -0.73 eV/f.u. Its size of the total moment is 0.0 Bohr magnetons per cell.

Compound: TaPbCl
Source: the Alexandria database
Functional: PBE
Structure: optimized geometry

The structure belongs to space group F-43m (No. 216); the cell edges are 6.5819, 6.5819 and 6.5819 Å and the angles 90.00°, 90.00° and 90.00°. The distinct sites, in fractional coordinates, are Ta at (0.0000, 0.0000, 0.0000), Pb at (0.0000, 0.0000, 0.5000) and Cl at (0.2500, 0.2500, 0.7500).

As for the calculated total energy: -4.622 eV/atom. The value obtained for the distance to the lowest polymorph of the same formula is 1425 meV per atom. The formation energy (no corrections) is 3.54 eV/f.u. Its size of the total moment is 0.0 Bohr magnetons per cell.

Compound: TaPb2Cl
Source: the Alexandria database
Functional: PBE
Structure: optimized geometry

The structure belongs to space group Pm (No. 6); the cell edges are 3.1322, 5.3169 and 5.9883 Å and the angles 90.00°, 104.94° and 90.00°. The distinct sites, in fractional coordinates, are Ta at (0.0000, 0.0000, 0.0000), Pb at (0.4822, 0.5000, 0.9652), Pb at (0.7278, 0.0000, 0.4699) and Cl at (0.2325, 0.5000, 0.4709).

As for the calculated total energy: -5.072 eV/atom. The value obtained for the distance to the lowest polymorph of the same formula is 120 meV per atom. The formation energy (no corrections) is 0.83 eV/f.u. Its size of the total moment is 0.0 Bohr magnetons per cell.